(1)
Material: LaDy2Tl
Method: DFT, PBE
State: optimized geometry

a = 3.660 Å, b = 3.660 Å, c = 11.200 Å
α = 80.58°, β = 80.58°, γ = 60.01°
Element x y z (fractional)
Dy (0.258, 0.258, 0.227)
Dy (0.076, 0.076, 0.772)
Tl (0.666, 0.666, 0.001)
La (0.500, 0.500, 0.500)

## Properties
For the formation enthalpy at 0 K, the calculation gives -89 meV/atom. The theoretical density comes out at 8.7 g/cm³. For the density of states at the Fermi level, the calculation gives 6.0 states/eV/cell. Its crystal system is trigonal. The calculation puts the energy above the most stable polymorph in this dataset at 92 meV/atom.


(2)
Material: ZrHgSe2
Method: DFT, PBE
State: optimized geometry

a = 3.666 Å, b = 3.666 Å, c = 10.177 Å
α = 90.00°, β = 90.00°, γ = 90.00°
Element x y z (fractional)
Se (0.000, 0.000, 0.696)
Se (0.500, 0.500, 0.372)
Zr (0.000, 0.000, 0.464)
Hg (0.500, 0.500, 0.968)

## Properties
The theoretical density comes out at 5.5 g/cm³. For the density of states at the Fermi level, the calculation gives 2.0 states/eV/cell. Its crystal system is tetragonal. The calculation puts the energy above the most stable polymorph in this dataset at 335 meV/atom.


(3)
Material: Li2ScSb
Method: DFT, PBE
State: optimized geometry

a = 3.249 Å, b = 4.099 Å, c = 6.447 Å
α = 90.00°, β = 90.00°, γ = 90.00°
Element x y z (fractional)
Li (0.000, 0.000, 0.029)
Li (0.500, 0.500, 0.245)
Sc (0.500, 0.500, 0.731)
Sb (0.000, 0.000, 0.495)

## Properties
The value obtained for the total energy is -0.28703 Ry per atom. The theoretical density comes out at 3.5 g/cm³. For the density of states at the Fermi level, the calculation gives 2.5 states/eV/cell. Its crystal system is orthorhombic.


What is the theoretical density in the third record? 3.5 g/cm³